VASP calculation (SCAN) on a crystal of Ta2AsIr relaxed with PBEsol.

## Properties
- Total DFT energy (no corrections): -56.53 eV per atom

abc: 4.081 5.612 5.612
angles: 29.69 90.00 90.00
Positions (direct):
1 Ta 0.000 0.000 0.000
2 Ta 0.500 0.343 0.343
3 As 0.500 0.598 0.598
4 Ir 0.000 0.736 0.736